# Pr3BWO9, relaxed, DFT PBE with a Hubbard U
# DFT total energy: -8.16 eV/atom
# size of the total moment: 0.0 μB/f.u.
# DOS at the Fermi energy: 0.00 states/eV per atom
data_Pr3BWO9
_cell_length_a 8.8587
_cell_length_b 8.8587
_cell_length_c 5.6295
_cell_angle_alpha 90.00
_cell_angle_beta 90.00
_cell_angle_gamma 120.00
_space_group_name_H-M_alt 'P 63'
_space_group_IT_number 173
_space_group_name_Hall 'P 6c'
loop_
_atom_site_label
_atom_site_fract_x
_atom_site_fract_y
_atom_site_fract_z
_atom_site_occupancy
Pr1 0.0798 0.7239 0.0000 1
B1 0.0000 0.0000 0.1643 1
W1 0.3333 0.6667 0.5440 1
O1 0.0466 0.8724 0.6563 1
O2 0.1363 0.5206 0.7655 1
O3 0.2082 0.4670 0.3425 1